# 1
Material: CePm4Tm3Se8
Method: DFT, PBE
State: relaxed

Lattice parameters (Å, degrees): 8.218 8.304 8.220 119.67 119.99 90.00
Sites, in units of the cell vectors:
Se  0.739  0.738  0.988
Se  0.744  0.733  0.488
Se  0.751  0.262  0.012
Se  0.261  0.262  0.012
Se  0.249  0.738  0.499
Se  0.751  0.262  0.501
Se  0.256  0.267  0.512
Se  0.249  0.738  0.988
Pm  0.000  0.000  0.500
Pm  0.000  0.000  0.000
Pm  0.500  0.000  0.500
Pm  0.500  0.000  0.000
Tm  0.500  0.500  0.000
Tm  0.000  0.500  0.500
Tm  0.500  0.500  0.500
Ce  0.000  0.500  0.000

Results
V	24.9	A^3/atom
E_form (uncorrected)	-1.77	eV per atom
ρ	7.74	g/cm³

# 2
Material: Ce2PmYSe4
Method: DFT, PBE
State: relaxed

Lattice parameters (Å, degrees): 4.146 7.278 7.216 70.88 90.00 90.00
Sites, in units of the cell vectors:
Ce  0.000  0.000  0.000
Ce  0.500  0.000  0.500
Se  0.500  0.258  0.743
Se  0.000  0.254  0.253
Se  0.500  0.742  0.257
Se  0.000  0.746  0.747
Pm  0.500  0.500  0.000
Y  0.000  0.500  0.500

Results
V	25.7	A^3/atom
E_form (uncorrected)	-1.82	eV per atom
ρ	6.70	g/cm³

# 3
Material: CePm2Y3Se6
Method: DFT, PBE
State: relaxed

Lattice parameters (Å, degrees): 4.113 8.357 9.283 103.67 102.80 90.00
Sites, in units of the cell vectors:
Y  0.500  0.500  0.000
Y  0.167  0.835  0.334
Y  0.833  0.165  0.666
Se  0.669  0.078  0.338
Se  0.665  0.589  0.330
Se  0.335  0.411  0.670
Se  0.997  0.256  0.995
Se  0.331  0.922  0.662
Se  0.003  0.744  0.005
Pm  0.834  0.669  0.668
Pm  0.166  0.331  0.332
Ce  0.500  0.000  0.000

Results
V	25.2	A^3/atom
E_form (uncorrected)	-1.80	eV per atom
ρ	6.44	g/cm³

# 4
Material: Ce2Pm3YSe6
Method: DFT, PBE
State: relaxed

Lattice parameters (Å, degrees): 7.236 7.236 7.254 99.60 99.60 120.07
Sites, in units of the cell vectors:
Se  0.590  0.918  0.753
Se  0.755  0.755  0.248
Se  0.245  0.245  0.752
Se  0.410  0.082  0.247
Se  0.918  0.590  0.753
Se  0.082  0.410  0.247
Y  0.000  0.000  0.000
Pm  0.167  0.833  0.500
Pm  0.833  0.167  0.500
Pm  0.500  0.500  0.500
Ce  0.666  0.334  0.000
Ce  0.334  0.666  0.000

Results
V	25.8	A^3/atom
E_form (uncorrected)	-1.82	eV per atom
ρ	6.85	g/cm³

# 5
Material: CePmY2Se4
Method: DFT, PBE
State: relaxed

Lattice parameters (Å, degrees): 4.105 7.250 7.147 71.04 90.00 90.00
Sites, in units of the cell vectors:
Y  0.000  0.000  0.000
Y  0.500  0.000  0.500
Pm  0.000  0.500  0.500
Ce  0.500  0.500  0.000
Se  0.500  0.760  0.247
Se  0.500  0.240  0.753
Se  0.000  0.239  0.254
Se  0.000  0.761  0.746

Results
V	25.1	A^3/atom
E_form (uncorrected)	-1.81	eV per atom
ρ	6.43	g/cm³

# 6
Material: Ce3Pm2YSe6
Method: DFT, PBE
State: relaxed

Lattice parameters (Å, degrees): 7.229 7.229 7.277 99.54 99.54 120.04
Sites, in units of the cell vectors:
Se  0.081  0.409  0.245
Se  0.755  0.755  0.248
Se  0.919  0.591  0.755
Se  0.409  0.081  0.245
Se  0.591  0.919  0.755
Se  0.245  0.245  0.752
Ce  0.831  0.169  0.500
Ce  0.500  0.500  0.500
Ce  0.169  0.831  0.500
Pm  0.666  0.334  0.000
Pm  0.334  0.666  0.000
Y  0.000  0.000  0.000

Results
V	25.9	A^3/atom
E_form (uncorrected)	-1.82	eV per atom
ρ	6.81	g/cm³

# 7
Material: Ce3Pm3YSe8
Method: DFT, PBE
State: relaxed

Lattice parameters (Å, degrees): 8.413 8.412 8.376 120.13 90.00 120.00
Sites, in units of the cell vectors:
Pm  0.500  0.500  0.000
Pm  0.000  0.000  0.000
Pm  0.000  0.500  0.000
Ce  0.000  0.500  0.500
Ce  0.500  0.500  0.500
Ce  0.500  0.000  0.500
Y  0.000  0.000  0.500
Se  0.755  0.001  0.748
Se  0.246  0.001  0.748
Se  0.247  0.494  0.747
Se  0.754  0.999  0.252
Se  0.245  0.999  0.252
Se  0.753  0.506  0.253
Se  0.249  0.498  0.248
Se  0.751  0.502  0.752

Results
V	27.9	A^3/atom
E_form (uncorrected)	-1.92	eV per atom
ρ	6.26	g/cm³

# 8
Material: CePm2Si6
Method: DFT, PBE
State: relaxed

Lattice parameters (Å, degrees): 4.128 7.104 7.104 120.00 90.00 90.00
Sites, in units of the cell vectors:
Ce  0.000  0.000  0.000
Si  0.500  0.000  0.333
Si  0.500  0.667  0.667
Si  0.500  0.667  0.000
Si  0.500  0.000  0.667
Si  0.500  0.333  0.333
Si  0.500  0.333  0.000
Pm  0.000  0.667  0.333
Pm  0.000  0.333  0.667

Results
V	20.1	A^3/atom
polymorph energy (0 for the lowest one)	0	meV per atom
E_form (uncorrected)	-0.62	eV per atom
ρ	5.51	g/cm³